1.
First-principles (PBE) data for a geometry-optimized MgCd2Cu2 structure, as listed in Alexandria.

Calculated values
V   177.9 Å³/cell
Total magnetic moment   0.0 μB per cell
Space group   P4/mbm

The structure in POSCAR format:
```
MgCd2Cu2
1.0
7.570 0.000 0.000
0.000 7.570 0.000
0.000 0.000 3.105
Mg Cd Cu
2 4 4
Direct
0.000 0.000 0.000
0.500 0.500 0.000
0.135 0.365 0.000
0.365 0.865 0.000
0.635 0.135 0.000
0.865 0.635 0.000
0.166 0.666 0.500
0.334 0.166 0.500
0.666 0.834 0.500
0.834 0.334 0.500
```


2.
First-principles (PBE) data for a geometry-optimized TbCePa structure, as listed in Alexandria.

Calculated values
V   83.3 Å³/cell
Total magnetic moment   0.0 μB per cell
Space group   I4mm

The structure in POSCAR format:
```
TbCePa
1.0
-1.639 1.639 7.752
1.639 -1.639 7.752
1.639 1.639 -7.752
Tb Ce Pa
1 1 1
Direct
0.000 0.000 0.000
0.686 0.686 0.000
0.339 0.339 0.000
```


Summary of energy of formation from the pure elements in meV per atom
65.7; 126.8
(order as listed above)